Compound: Ba2CrSi
Source: Alexandria
Functional: PBE-GGA
Structure: relaxed

## Properties
**Polymorph energy (0 for the lowest one)**: 1.084 eV per formula unit
**ΔE_f (raw)**: 0.36 eV per atom
**Space-group type**: No. 65

The structure in POSCAR format:
```
Ba2CrSi
1.0
-3.154 -6.722 4.943
5.089 0.662 -1.906
1.617 -0.689 4.071
Ba Cr Si
2 1 1
Cartesian
0.000 0.000 0.000
-0.768 -3.705 4.507
3.353 -0.013 1.083
0.967 -3.030 1.519
```